(1)
## TaTc2Ir (PBE-GGA)

Data for TaTc2Ir after structural relaxation.

Output
E above lowest polymorph   274 meV per atom
Energy of formation   0.0123 eV per atom

```
TaTc2Ir
1.0
-0.317 2.062 2.411
-3.139 -0.553 0.060
0.878 -4.554 4.010
Ir Ta Tc
1 1 2
Cartesian
-1.509 -0.384 2.238
-1.069 -2.661 4.243
0.873 -4.528 3.987
0.444 -2.304 2.028
```



(2)
## Cr2FeCoAu (PBE-GGA)

Data for Cr2FeCoAu after structural relaxation.

Output
Energy of formation   1.1881 eV per atom

```
Cr2FeCoAu
1.0
-2.737 -0.312 -3.134
-1.855 -3.243 1.942
-2.558 2.643 1.971
Co Au Fe Cr
1 1 1 2
Cartesian
0.000 0.000 0.000
-3.575 -0.456 0.390
-0.927 -1.622 0.971
-1.279 1.322 0.985
-1.369 -0.156 -1.567
```



(3)
## AlTePt3 (PBE-GGA)

Data for AlTePt3 after structural relaxation.

Output
E above lowest polymorph   515 meV per atom
Raw formation energy   766 meV/atom

```
AlTePt3
1.0
-3.475 -3.515 -0.563
3.550 -3.480 -0.181
-0.266 -0.529 4.939
Te Al Pt
1 1 3
Cartesian
0.000 0.000 0.000
-0.095 -3.762 2.097
1.775 -1.740 -0.091
-0.133 -0.264 2.470
-1.737 -1.758 -0.282
```



(4)
## RbZnCd2Rh (PBE-GGA)

Data for RbZnCd2Rh after structural relaxation.

Output
Energy of formation   -0.0996 eV per atom

```
RbZnCd2Rh
1.0
5.313 0.000 0.000
0.000 5.313 0.000
0.000 0.000 4.950
Zn Rh Rb Cd
1 1 1 2
Cartesian
0.000 0.000 2.475
0.000 0.000 0.000
2.656 2.656 2.475
0.000 2.656 0.000
2.656 0.000 0.000
```



(5)
## V2Cu (PBE-GGA)

Data for V2Cu after structural relaxation.

Output
Energy of formation   0.2794 eV per atom

```
V2Cu
1.0
4.757 0.069 -0.001
-2.548 4.017 -0.001
-1.105 -2.045 4.150
Cu V
2 4
Cartesian
1.652 3.067 -0.001
0.556 1.019 0.000
0.758 -0.411 2.075
2.934 1.062 0.860
-1.831 0.979 3.288
0.345 2.452 2.074
```



(6)
## Rb2MgBiI6 (PBE-GGA)

Data for Rb2MgBiI6 after structural relaxation.

Output
Raw formation energy   -911 meV/atom

```
Rb2MgBiI6
1.0
-0.306 7.504 -4.311
-6.594 -2.996 -4.747
-7.411 4.455 -0.416
I Mg Bi Rb
6 1 1 2
Cartesian
-5.366 3.319 -2.540
-8.946 5.645 -6.934
-1.775 1.160 -2.330
-5.126 3.349 -6.728
-1.924 4.804 -4.423
-4.977 -0.295 -4.635
-3.450 2.254 -4.529
0.000 0.000 0.000
-5.584 7.107 -4.628
-8.728 1.857 -4.846
```



Asked for D(E_F) across the records above, the calculation gives 5.189 8.607 11.820 2.119 7.274 3.621 states/eV/cell in order.